Entry from Alexandria: TbHo2Er2Tm2 after structural relaxation (GGA-PBE).

- Energy of formation: 0.140 eV per atom

a = 5.5856 Å, b = 5.5856 Å, c = 24.1222 Å
α = 90.00°, β = 90.00°, γ = 120.00°
Space group R-3m (No. 166, hexagonal axes)
One atom of each set of equivalent atoms:
1 Tb 0.0000 0.0000 0.0000 x3
2 Ho 0.0000 0.0000 0.4281 x6
3 Er 0.0000 0.0000 0.2841 x6
4 Tm 0.0000 0.0000 0.1436 x6

---

Entry from Alexandria: Nd8Rh3SI4 after structural relaxation (GGA-PBE).

- ΔE_f (raw): -1035 meV per atom

a = 8.4466 Å, b = 8.4466 Å, c = 24.0729 Å
α = 90.00°, β = 90.00°, γ = 120.00°
Space group R-3m (No. 166, hexagonal axes)
One atom of each set of equivalent atoms:
1 Nd 0.0000 0.0000 0.2285 x6
2 Nd 0.0114 0.5057 0.7713 x18
3 Rh 0.0000 0.5000 0.5000 x9
4 S 0.0000 0.0000 0.5000 x3
5 I 0.0000 0.0000 0.0000 x3
6 I 0.0000 0.5000 0.0000 x9

---

Entry from Alexandria: Si4SbW after structural relaxation (GGA-PBE).

- ΔE_f (raw): 716 meV per atom

a = 7.258 Å, b = 7.258 Å, c = 7.258 Å
α = 90.00°, β = 90.00°, γ = 90.00°
Space group F-43m (No. 216)
One atom of each set of equivalent atoms:
1 Si 0.124 0.124 0.376 x16
2 Sb 0.000 0.000 0.000 x4
3 W 0.250 0.250 0.750 x4

---

Entry from Alexandria: KRe2Si after structural relaxation (GGA-PBE).

- ΔE_f (raw): 1663 meV per atom

a = 3.905 Å, b = 3.905 Å, c = 9.175 Å
α = 90.00°, β = 90.00°, γ = 90.00°
Space group I4/mmm (No. 139)
One atom of each set of equivalent atoms:
1 K 0.000 0.000 0.000 x2
2 Re 0.000 0.500 0.250 x4
3 Si 0.000 0.000 0.500 x2

---

Entry from Alexandria: BeIn2Mo after structural relaxation (GGA-PBE).

- Energy of formation: 0.678 eV per atom

a = 7.299 Å, b = 7.299 Å, c = 5.398 Å
α = 90.00°, β = 90.00°, γ = 90.00°
Space group I-42d (No. 122)
One atom of each set of equivalent atoms:
1 Be 0.000 0.000 0.000 x4
2 In 0.201 0.750 0.125 x8
3 Mo 0.000 0.000 0.500 x4

---

Entry from Alexandria: KCu2Re after structural relaxation (GGA-PBE).

- Energy of formation: 0.651 eV per atom
- Energy above the most stable polymorph in this dataset: 0 meV per atom

a = 2.623 Å, b = 3.944 Å, c = 7.293 Å
α = 90.00°, β = 90.29°, γ = 90.00°
Space group P2/m (No. 10)
One atom of each set of equivalent atoms:
1 K 0.000 0.000 0.000 x1
2 Cu 0.498 0.500 0.333 x2
3 Re 0.000 0.000 0.500 x1